CaCu2PSe4 GGA-PBE relaxed; VASP energy = -4.14 eV/atom; symmetry = No. 121
1.0
-3.032 3.032 5.404
3.032 -3.032 5.404
3.032 3.032 -5.404
Ca Cu P Se
1 2 1 4
Cartesian
0.000 0.000 0.000 Ca
3.032 0.000 2.702 Cu
0.000 3.032 2.702 Cu
0.000 0.000 5.404 P
1.317 -1.317 3.857 Se
1.715 1.715 1.547 Se
-1.317 1.317 3.857 Se
1.317 1.317 6.951 Se